Computed, not measured: a relaxed structure of Ti2IrOs2 at the PBE-GGA level of DFT. Values from VASP.

Results
E_form = -9.66 kcal/mol of atoms

```
&SYSTEM
  ibrav = 0, nat = 20, ntyp = 3
/
ATOMIC_SPECIES
Ir 192.22 Ir.upf
Ti 47.87 Ti.upf
Os 190.23 Os.upf
CELL_PARAMETERS angstrom
5.6013 0.0000 0.0038
0.0000 3.7946 0.0000
-2.5113 0.0000 14.1025
ATOMIC_POSITIONS crystal
Ir 0.4338 0.5000 0.2221
Ir 0.8314 0.0000 0.5273
Ir 0.4338 0.0000 0.7221
Ir 0.8314 0.5000 0.0273
Ti 0.2194 0.0000 0.3072
Ti 0.6332 0.5000 0.6330
Ti 0.6332 0.0000 0.1330
Ti 0.7361 0.5000 0.8411
Ti 0.3222 0.0000 0.5123
Ti 0.3222 0.5000 0.0123
Ti 0.7361 0.0000 0.3411
Ti 0.2194 0.5000 0.8072
Os 0.9306 0.0000 0.7219
Os 0.1157 0.5000 0.6202
Os 0.9306 0.5000 0.2219
Os 0.1157 0.0000 0.1202
Os 0.5212 0.5000 0.4237
Os 0.5212 0.0000 0.9237
Os 0.0270 0.0000 0.9261
Os 0.0270 0.5000 0.4261
```


Computed, not measured: a relaxed structure of NaPt2Pb at the PBE-GGA level of DFT. Values from VASP.

Results
E_form = 4.26 kcal/mol of atoms

```
&SYSTEM
  ibrav = 0, nat = 4, ntyp = 3
/
ATOMIC_SPECIES
Pt 195.08 Pt.upf
Pb 207.20 Pb.upf
Na 22.99 Na.upf
CELL_PARAMETERS angstrom
-2.3900 2.4882 1.3805
-0.7153 0.0650 3.6460
4.7387 5.8177 2.7197
ATOMIC_POSITIONS crystal
Pt 0.7405 0.7405 0.7784
Pt 0.2595 0.2595 0.2216
Pb 0.0000 0.0000 0.0000
Na 0.5000 0.5000 0.5000
```


Computed, not measured: a relaxed structure of Tm2NpSe4 at the PBE-GGA level of DFT. Values from VASP.

Results
Energy relative to the elements, uncorrected = -1.435 eV per atom

```
&SYSTEM
  ibrav = 0, nat = 14, ntyp = 3
/
ATOMIC_SPECIES
Se 78.96 Se.upf
Tm 168.93 Tm.upf
Np 237.00 Np.upf
CELL_PARAMETERS angstrom
-5.6128 -6.2049 -0.4475
1.1675 -7.0343 4.4505
-4.8925 -1.7089 6.6178
ATOMIC_POSITIONS crystal
Se 0.2643 0.2531 0.7531
Se 0.7381 0.7569 0.7668
Se 0.7296 0.2531 0.7531
Se 0.2619 0.2431 0.2332
Se 0.7381 0.2668 0.2569
Se 0.7357 0.7469 0.2469
Se 0.2704 0.7469 0.2469
Se 0.2619 0.7332 0.7431
Tm 0.5000 0.0000 0.0000
Tm 0.1252 0.1248 0.6248
Tm 0.8748 0.8752 0.3752
Tm 0.5000 0.5000 0.5000
Np 0.0000 0.5000 0.0000
Np 0.5000 0.5000 0.0000
```


Computed, not measured: a relaxed structure of NbZnRuPt at the PBE-GGA level of DFT. Values from VASP.

Results
E_form = -10.10 kcal/mol of atoms

```
&SYSTEM
  ibrav = 0, nat = 4, ntyp = 4
/
ATOMIC_SPECIES
Ru 101.07 Ru.upf
Pt 195.08 Pt.upf
Zn 65.41 Zn.upf
Nb 92.91 Nb.upf
CELL_PARAMETERS angstrom
-3.4470 -2.1531 0.3201
1.9385 -2.7637 2.2856
-0.1411 4.3435 1.7363
ATOMIC_POSITIONS crystal
Ru 0.0000 0.0000 0.0000
Pt 0.5000 0.5000 0.0000
Zn 0.2500 0.7500 0.5000
Nb 0.7500 0.2500 0.5000
```


Computed, not measured: a relaxed structure of NaSrCdF6 at the PBE-GGA level of DFT. Values from VASP.

Results
Energy relative to the elements, uncorrected = -2.609 eV per atom

```
&SYSTEM
  ibrav = 0, nat = 9, ntyp = 4
/
ATOMIC_SPECIES
F 19.00 F.upf
Cd 112.41 Cd.upf
Na 22.99 Na.upf
Sr 87.62 Sr.upf
CELL_PARAMETERS angstrom
5.7928 0.0011 0.0001
2.8974 5.0161 0.0000
0.0003 -0.0005 5.2520
ATOMIC_POSITIONS crystal
F 0.6458 0.0164 0.2713
F 0.3379 0.6455 0.2710
F 0.0164 0.6458 0.7287
F 0.3377 0.0166 0.7288
F 0.6455 0.3379 0.7290
F 0.0166 0.3377 0.2712
Cd 0.3333 0.3333 0.5000
Na 0.6666 0.6666 0.5000
Sr 0.0000 0.0000 0.0000
```


Computed, not measured: a relaxed structure of CoPb2W at the PBE-GGA level of DFT. Values from VASP.

Results
E_form = 25.72 kcal/mol of atoms

```
&SYSTEM
  ibrav = 0, nat = 4, ntyp = 3
/
ATOMIC_SPECIES
Pb 207.20 Pb.upf
Co 58.93 Co.upf
W 183.84 W.upf
CELL_PARAMETERS angstrom
3.2918 0.0000 0.0000
0.0000 5.4322 0.0000
0.0000 0.0000 4.5205
ATOMIC_POSITIONS crystal
Pb 0.5000 0.5000 0.0000
Pb 0.0000 0.0000 0.0000
Co 0.0000 0.5000 0.5000
W 0.5000 0.0000 0.5000
```


Computed, not measured: a relaxed structure of Rb3Sr5Br12 at the PBE-GGA level of DFT. Values from VASP.

Results
Energy relative to the elements, uncorrected = -1.883 eV per atom

```
&SYSTEM
  ibrav = 0, nat = 80, ntyp = 3
/
ATOMIC_SPECIES
Br 79.90 Br.upf
Rb 85.47 Rb.upf
Sr 87.62 Sr.upf
CELL_PARAMETERS angstrom
-5.0222 -6.4918 -14.5313
-4.1127 -10.3461 12.4325
-7.4222 14.7602 2.3602
ATOMIC_POSITIONS crystal
Br 0.4149 0.1211 0.5893
Br 0.2938 0.8789 0.9681
Br 0.1743 0.0851 0.7062
Br 0.7062 0.1211 0.0319
Br 0.6743 0.4681 0.5893
Br 0.1211 0.7062 0.5319
Br 0.1743 0.0893 0.9681
Br 0.0893 0.1743 0.4681
Br 0.0319 0.6211 0.7062
Br 0.9149 0.0893 0.6211
Br 0.5893 0.9681 0.6743
Br 0.7938 0.3257 0.9149
Br 0.0319 0.4107 0.8257
Br 0.0851 0.1743 0.2062
Br 0.4107 0.3789 0.5851
Br 0.3257 0.5319 0.4107
Br 0.6743 0.2062 0.5851
Br 0.9149 0.8257 0.7938
Br 0.2938 0.4149 0.8257
Br 0.9107 0.0851 0.8789
Br 0.0893 0.9149 0.1211
Br 0.5851 0.8789 0.4107
Br 0.8789 0.5851 0.9107
Br 0.2062 0.6743 0.0851
Br 0.8789 0.2938 0.4681
Br 0.0851 0.9107 0.3789
Br 0.7938 0.4681 0.3789
Br 0.3789 0.4107 0.0851
Br 0.5893 0.6211 0.4149
Br 0.9681 0.5893 0.1743
Br 0.8257 0.9107 0.0319
Br 0.1211 0.4149 0.0893
Br 0.6211 0.5893 0.9149
Br 0.2062 0.5319 0.6211
Br 0.4681 0.7938 0.8789
Br 0.4107 0.0319 0.3257
Br 0.9681 0.3789 0.2938
Br 0.3257 0.7938 0.4149
Br 0.4149 0.2938 0.3257
Br 0.4681 0.6743 0.0893
Br 0.3789 0.9681 0.7938
Br 0.5851 0.7062 0.6743
Br 0.5319 0.2062 0.1211
Br 0.8257 0.9149 0.2938
Br 0.7062 0.5851 0.1743
Br 0.6211 0.0319 0.2062
Br 0.5319 0.3257 0.9107
Br 0.9107 0.8257 0.5319
Rb 0.3750 0.7500 0.6250
Rb 0.2500 0.6250 0.8750
Rb 0.8750 0.1250 0.2500
Rb 0.3750 0.6250 0.2500
Rb 0.1250 0.8750 0.7500
Rb 0.8750 0.7500 0.1250
Rb 0.7500 0.3750 0.1250
Rb 0.2500 0.1250 0.3750
Rb 0.1250 0.2500 0.8750
Rb 0.6250 0.2500 0.3750
Rb 0.6250 0.3750 0.7500
Rb 0.7500 0.8750 0.6250
Sr 0.2500 0.3750 0.6250
Sr 0.7500 0.1250 0.8750
Sr 0.8750 0.2500 0.6250
Sr 0.3750 0.2500 0.1250
Sr 0.0000 0.0000 0.0000
Sr 0.0000 0.5000 0.5000
Sr 0.1250 0.3750 0.2500
Sr 0.5000 0.0000 0.5000
Sr 0.5000 0.0000 0.0000
Sr 0.6250 0.7500 0.8750
Sr 0.1250 0.7500 0.3750
Sr 0.0000 0.5000 0.0000
Sr 0.5000 0.5000 0.5000
Sr 0.6250 0.8750 0.2500
Sr 0.0000 0.0000 0.5000
Sr 0.8750 0.6250 0.7500
Sr 0.3750 0.1250 0.7500
Sr 0.2500 0.8750 0.1250
Sr 0.5000 0.5000 0.0000
Sr 0.7500 0.6250 0.3750
```


Computed, not measured: a relaxed structure of Y3HoEr6 at the PBE-GGA level of DFT. Values from VASP.

Results
E_form = 3.28 kcal/mol of atoms

```
&SYSTEM
  ibrav = 0, nat = 20, ntyp = 3
/
ATOMIC_SPECIES
Er 167.26 Er.upf
Y 88.91 Y.upf
Ho 164.93 Ho.upf
CELL_PARAMETERS angstrom
6.1249 0.0000 0.0000
0.0000 10.8008 -1.5891
0.0000 -3.9593 10.1738
ATOMIC_POSITIONS crystal
Er 0.8635 0.9625 0.5403
Er 0.4276 0.9513 0.0487
Er 0.5292 0.2879 0.3833
Er 0.3635 0.5403 0.9625
Er 0.6381 0.2842 0.7158
Er 0.1381 0.7158 0.2842
Er 0.8635 0.4597 0.0375
Er 0.9276 0.0487 0.9513
Er 0.0292 0.7121 0.6167
Er 0.0292 0.3833 0.2879
Er 0.3635 0.0375 0.4597
Er 0.5292 0.6167 0.7121
Y 0.0676 0.3910 0.6090
Y 0.5676 0.6090 0.3910
Y 0.9581 0.0624 0.2792
Y 0.9581 0.7208 0.9376
Y 0.4581 0.9376 0.7208
Y 0.4581 0.2792 0.0624
Ho 0.1504 0.2092 0.7908
Ho 0.6504 0.7908 0.2092
```


Computed, not measured: a relaxed structure of Cs12InAu7 at the PBE-GGA level of DFT. Values from VASP.

Results
E_form = -5.13 kcal/mol of atoms

```
&SYSTEM
  ibrav = 0, nat = 20, ntyp = 3
/
ATOMIC_SPECIES
Au 196.97 Au.upf
Cs 132.91 Cs.upf
In 114.82 In.upf
CELL_PARAMETERS angstrom
11.5739 -0.4897 -0.7350
-3.6886 10.9813 -0.7350
-3.6886 -4.9078 9.8511
ATOMIC_POSITIONS crystal
Au 0.9805 0.0605 0.7684
Au 0.9395 0.2316 0.0195
Au 0.0605 0.7684 0.9805
Au 0.7684 0.9805 0.0605
Au 0.0195 0.9395 0.2316
Au 0.2316 0.0195 0.9395
Au 0.5000 0.5000 0.5000
Cs 0.9057 0.3450 0.7608
Cs 0.0943 0.6550 0.2392
Cs 0.3916 0.1145 0.3176
Cs 0.6550 0.2392 0.0943
Cs 0.3176 0.3916 0.1145
Cs 0.2392 0.0943 0.6550
Cs 0.1145 0.3176 0.3916
Cs 0.6084 0.8855 0.6824
Cs 0.6824 0.6084 0.8855
Cs 0.3450 0.7608 0.9057
Cs 0.7608 0.9057 0.3450
Cs 0.8855 0.6824 0.6084
In 0.0000 0.0000 0.0000
```


Computed, not measured: a relaxed structure of MnPbSeN2 at the PBE-GGA level of DFT. Values from VASP.

Results
Energy relative to the elements, uncorrected = 0.645 eV per atom

```
&SYSTEM
  ibrav = 0, nat = 5, ntyp = 4
/
ATOMIC_SPECIES
Pb 207.20 Pb.upf
Mn 54.94 Mn.upf
N 14.01 N.upf
Se 78.96 Se.upf
CELL_PARAMETERS angstrom
3.8539 0.0000 0.0000
0.0000 3.8539 0.0000
0.0000 0.0000 5.2425
ATOMIC_POSITIONS crystal
Pb 0.5000 0.5000 0.5000
Mn 0.0000 0.0000 0.0000
N 0.0000 0.5000 0.0000
N 0.5000 0.0000 0.0000
Se 0.0000 0.0000 0.5000
```


Computed, not measured: a relaxed structure of ZnSn2P at the PBE-GGA level of DFT. Values from VASP.

Results
E_form = 5.66 kcal/mol of atoms

```
&SYSTEM
  ibrav = 0, nat = 4, ntyp = 3
/
ATOMIC_SPECIES
Zn 65.41 Zn.upf
Sn 118.71 Sn.upf
P 30.97 P.upf
CELL_PARAMETERS angstrom
-1.9385 1.4242 -2.8024
0.7912 -0.9710 -3.4743
-6.1922 -6.6306 -1.5199
ATOMIC_POSITIONS crystal
Zn 0.0000 0.0000 0.0000
Sn 0.8968 0.8968 0.3096
Sn 0.1032 0.1032 0.6904
P 0.5000 0.5000 0.5000
```